[1]
The following is a DFT calculation (PBE-GGA) of crystalline TbSm2TmS5 at its relaxed geometry.

abc: 4.818 4.818 10.229
angles: 90.00 90.00 90.00
Space group P4/mmm (No. 123)
Symmetry-distinct sites (fractional):
Tb1 0.000 0.000 0.000 [1 per cell]
Sm1 0.500 0.500 0.305 [2 per cell]
Tm1 0.000 0.000 0.500 [1 per cell]
S1 0.000 0.000 0.247 [2 per cell]
S2 0.000 0.500 0.500 [2 per cell]
S3 0.500 0.500 0.000 [1 per cell]

Calculated values
electronic total energy: -5.79 eV per atom
ρ: 5.52 Mg/m³
formation energy (no corrections): -1.4383 eV per atom

=====

[2]
The following is a DFT calculation (PBE-GGA) of crystalline KInGa2Au at its relaxed geometry.

abc: 4.560 4.606 11.724
angles: 90.00 90.00 90.00
Space group Imm2 (No. 44)
Symmetry-distinct sites (fractional):
K1 0.000 0.000 0.000 [2 per cell]
In1 0.000 0.500 0.751 [2 per cell]
Ga1 0.000 0.000 0.392 [2 per cell]
Ga2 0.000 0.500 0.247 [2 per cell]
Au1 0.000 0.000 0.614 [2 per cell]

Calculated values
energy of formation from the pure elements: -0.21 eV per atom
electronic total energy: -2.85 eV per atom
ρ: 6.61 Mg/m³

=====

[3]
The following is a DFT calculation (PBE-GGA) of crystalline LaReO2 at its relaxed geometry.

abc: 3.7976 3.7976 17.8756
angles: 90.00 90.00 120.00
Space group R-3m (No. 166, hexagonal axes)
Symmetry-distinct sites (fractional):
La1 0.0000 0.0000 0.0000 [3 per cell]
Re1 0.0000 0.0000 0.5000 [3 per cell]
O1 0.0000 0.0000 0.3900 [6 per cell]

Calculated values
electronic total energy: -8.33 eV per atom
ρ: 7.97 Mg/m³
excess energy over the best structure of this formula in the dataset: 0 meV per atom
formation energy (no corrections): -1.5096 eV per atom

=====

[4]
The following is a DFT calculation (PBE-GGA) of crystalline SrLi10Rh3 at its relaxed geometry.

abc: 12.889 12.889 12.889
angles: 90.00 90.00 90.00
Space group Fm-3m (No. 225)
Symmetry-distinct sites (fractional):
Sr1 0.250 0.250 0.250 [8 per cell]
Li1 0.000 0.164 0.164 [48 per cell]
Li2 0.104 0.104 0.396 [32 per cell]
Rh1 0.000 0.000 0.269 [24 per cell]

Calculated values
energy of formation from the pure elements: 0.07 eV per atom
electronic total energy: -2.99 eV per atom
ρ: 2.89 Mg/m³

=====

[5]
The following is a DFT calculation (PBE-GGA) of crystalline BaPm4Au5 at its relaxed geometry.

abc: 3.746 3.746 18.894
angles: 90.00 90.00 90.00
Space group P4/mmm (No. 123)
Symmetry-distinct sites (fractional):
Ba1 0.000 0.000 0.000 [1 per cell]
Pm1 0.000 0.000 0.209 [2 per cell]
Pm2 0.000 0.000 0.404 [2 per cell]
Au1 0.500 0.500 0.124 [2 per cell]
Au2 0.500 0.500 0.306 [2 per cell]
Au3 0.500 0.500 0.500 [1 per cell]

Calculated values
energy of formation from the pure elements: -0.75 eV per atom
electronic total energy: -4.49 eV per atom
ρ: 10.66 Mg/m³

=====

[6]
The following is a DFT calculation (PBE-GGA) of crystalline NaOsWI2 at its relaxed geometry.

abc: 5.285 5.285 5.485
angles: 90.00 90.00 90.00
Space group P4/mmm (No. 123)
Symmetry-distinct sites (fractional):
Na1 0.000 0.000 0.000 [1 per cell]
Os1 0.000 0.000 0.500 [1 per cell]
W1 0.500 0.500 0.000 [1 per cell]
I1 0.000 0.500 0.500 [2 per cell]

Calculated values
electronic total energy: -3.84 eV per atom
ρ: 7.05 Mg/m³
formation energy (no corrections): 1.8778 eV per atom

=====

[7]
The following is a DFT calculation (PBE-GGA) of crystalline Mg2AlIn at its relaxed geometry.

abc: 3.2509 3.2509 28.6457
angles: 90.00 90.00 120.00
Space group R-3m (No. 166, hexagonal axes)
Symmetry-distinct sites (fractional):
Mg1 0.0000 0.0000 0.2458 [6 per cell]
Al1 0.0000 0.0000 0.5000 [3 per cell]
In1 0.0000 0.0000 0.0000 [3 per cell]

Calculated values
energy of formation from the pure elements: -0.03 eV per atom
electronic total energy: -2.45 eV per atom
ρ: 3.62 Mg/m³

=====

[8]
The following is a DFT calculation (PBE-GGA) of crystalline Tl3Sb2Br9 at its relaxed geometry.

abc: 13.6541 13.6541 20.3557
angles: 90.00 90.00 120.00
Space group R-3c (No. 167, hexagonal axes)
Symmetry-distinct sites (fractional):
Tl1 0.0000 0.2782 0.2500 [18 per cell]
Sb1 0.0000 0.0000 0.1520 [12 per cell]
Br1 0.0000 0.1718 0.7500 [18 per cell]
Br2 0.0133 0.1774 0.4110 [36 per cell]

Calculated values
electronic total energy: -2.88 eV per atom
ρ: 4.78 Mg/m³
formation energy (no corrections): -0.7046 eV per atom